Entry 1:
Material: Rb4Na2As
Method: DFT, PBE-GGA
State: relaxed

Cell lengths 6.7545, 6.7545, 11.5351 Å; angles 107.02, 107.02, 90.00 degrees
With the nearest neighbours (Å) after each atom.
Atoms (fractional coordinates):
Na  0.6416  0.6416  0.2832  5 Rb 4.14-4.50
Na  0.3584  0.3584  0.7168  5 Rb 4.14-4.50
As  0.0000  0.0000  0.0000  6 Rb 3.38
Rb  0.8389  0.8389  0.6778  1 As 3.38
Rb  0.1611  0.1611  0.3222  1 As 3.38
Rb  0.0000  0.5000  0.0000  2 As 3.38
Rb  0.5000  0.0000  0.0000  2 As 3.38

total magnetization: 0.924 μB/cell
space group: I4/mmm, No. 139
formation enthalpy at 0 K: 0.0005 eV per atom
total energy: -1.5934 eV/atom



Entry 2:
Material: Rb2NaAs
Method: DFT, PBE-GGA
State: relaxed

Cell lengths 5.2208, 5.2208, 12.3075 Å; angles 77.75, 77.75, 90.00 degrees
With the nearest neighbours (Å) after each atom.
Atoms (fractional coordinates):
Na  0.5000  0.5000  0.0000  4 Rb 3.49, 4 As 3.69
Na  0.2500  0.7500  0.5000  4 Rb 3.49, 4 As 3.69
As  0.0000  0.0000  0.0000  4 Rb 3.44, 4 Na 3.69
As  0.7500  0.2500  0.5000  4 Rb 3.44, 4 Na 3.69
Rb  0.6371  0.1250  0.2500  2 As 3.44, 2 Na 3.49, 4 Rb 3.60-3.78
Rb  0.1129  0.6250  0.2500  2 As 3.44, 2 Na 3.49, 4 Rb 3.60-3.78
Rb  0.3750  0.3629  0.7500  2 As 3.44, 2 Na 3.49, 4 Rb 3.60-3.78
Rb  0.8750  0.8871  0.7500  2 As 3.44, 2 Na 3.49, 4 Rb 3.60-3.78

total magnetization: 0.000 μB/cell
space group: I-42d, No. 122
formation enthalpy at 0 K: 0.0696 eV per atom
total energy: -1.9063 eV/atom



Entry 3:
Material: RbNa2As2
Method: DFT, PBE-GGA
State: relaxed

Cell lengths 4.5705, 5.7353, 6.8485 Å; angles 98.16, 109.49, 90.00 degrees
With the nearest neighbours (Å) after each atom.
Atoms (fractional coordinates):
Rb  0.0000  0.0000  0.0000  6 As 3.59-3.75
Na  0.3356  0.4160  0.6711  4 As 2.98-3.08
Na  0.6644  0.5840  0.3289  4 As 2.98-3.08
As  0.7331  0.1042  0.4661  2 As 2.65
As  0.2669  0.8958  0.5339  2 As 2.65

total magnetization: 0.000 μB/cell
space group: C2/m, No. 12
formation enthalpy at 0 K: -0.2601 eV per atom
energy relative to the lowest polymorph listed for this composition: 104 meV per atom
total energy: -2.8410 eV/atom



Entry 4:
Material: RbNaAs
Method: DFT, PBE-GGA
State: relaxed

Cell lengths 4.8814, 6.4256, 6.5179 Å; angles 90.00, 90.00, 112.32 degrees
With the nearest neighbours (Å) after each atom.
Atoms (fractional coordinates):
Na  0.5439  0.0878  0.7500  4 As 2.98, 1 Rb 3.15
Na  0.4561  0.9122  0.2500  4 As 2.98, 1 Rb 3.15
As  0.0000  0.0000  0.5000  4 Na 2.98, 2 As 3.26
As  0.0000  0.0000  0.0000  4 Na 2.98, 2 As 3.26
Rb  0.7212  0.4423  0.2500  1 Na 3.15
Rb  0.2788  0.5577  0.7500  1 Na 3.15

total magnetization: 0.000 μB/cell
space group: Cmcm, No. 63
formation enthalpy at 0 K: -0.2315 eV per atom
energy relative to the lowest polymorph listed for this composition: 39 meV per atom
total energy: -2.5436 eV/atom



Entry 5:
Material: RbNaAs4
Method: DFT, PBE-GGA
State: relaxed

Cell lengths 7.3310, 8.4521, 8.4521 Å; angles 114.93, 110.65, 110.65 degrees
With the nearest neighbours (Å) after each atom.
Atoms (fractional coordinates):
Rb  0.2500  0.6256  0.8744  4 As 3.32-3.38
Rb  0.7500  0.3744  0.1256  4 As 3.32-3.38
Na  0.7500  0.7116  0.7884  4 As 3.11-3.39
Na  0.2500  0.2884  0.2116  4 As 3.11-3.39
As  0.1750  0.9658  0.7152  2 As 2.44-2.51
As  0.7557  0.0496  0.7239  2 As 2.43-2.44
As  0.3250  0.7848  0.5342  2 As 2.44-2.51
As  0.7443  0.7761  0.4504  2 As 2.43-2.44
As  0.2557  0.2239  0.5496  2 As 2.43-2.44
As  0.6750  0.2152  0.4658  2 As 2.44-2.51
As  0.2443  0.9504  0.2761  2 As 2.43-2.44
As  0.8250  0.0342  0.2848  2 As 2.44-2.51

total magnetization: 0.000 μB/cell
space group: C2/c, No. 15
formation enthalpy at 0 K: -0.2160 eV per atom
total energy: -3.6968 eV/atom



Entry 6:
Material: RbNaAs
Method: DFT, PBE-GGA
State: relaxed

Cell lengths 4.0539, 4.0539, 6.7355 Å; angles 107.51, 107.51, 90.00 degrees
With the nearest neighbours (Å) after each atom.
Atoms (fractional coordinates):
Na  0.3365  0.3365  0.6731  4 As 3.01, 1 Rb 3.24
As  0.9114  0.9114  0.8227  4 Na 3.01
Rb  0.6021  0.6021  0.2042  1 Na 3.24

total magnetization: 0.000 μB/cell
space group: I4mm, No. 107
formation enthalpy at 0 K: -0.1724 eV per atom
energy relative to the lowest polymorph listed for this composition: 98 meV per atom
total energy: -2.4845 eV/atom



Entry 7:
Material: RbNa2As2
Method: DFT, PBE-GGA
State: relaxed

Cell lengths 9.1846, 9.1846, 3.0390 Å; angles 90.00, 90.00, 90.00 degrees
With the nearest neighbours (Å) after each atom.
Atoms (fractional coordinates):
Na  0.3773  0.8773  0.0000  3 Na 3.04-3.19, 6 As 3.08-3.13
Na  0.8773  0.6227  0.0000  3 Na 3.04-3.19, 6 As 3.08-3.13
Na  0.6227  0.1227  0.0000  3 Na 3.04-3.19, 6 As 3.08-3.13
Na  0.1227  0.3773  0.0000  3 Na 3.04-3.19, 6 As 3.08-3.13
As  0.1709  0.6709  0.5000  2 As 3.04, 6 Na 3.08-3.13
As  0.6709  0.8291  0.5000  2 As 3.04, 6 Na 3.08-3.13
As  0.8291  0.3291  0.5000  2 As 3.04, 6 Na 3.08-3.13
As  0.3291  0.1709  0.5000  2 As 3.04, 6 Na 3.08-3.13
Rb  0.0000  0.0000  0.0000  2 Rb 3.04
Rb  0.5000  0.5000  0.0000  2 Rb 3.04

total magnetization: 0.000 μB/cell
space group: P4/mbm, No. 127
formation enthalpy at 0 K: -0.2640 eV per atom
energy relative to the lowest polymorph listed for this composition: 100 meV per atom
total energy: -2.8449 eV/atom



Entry 8:
Material: RbNa2As2
Method: DFT, PBE-GGA
State: relaxed

Cell lengths 8.4614, 8.4614, 4.3437 Å; angles 90.00, 90.00, 90.00 degrees
With the nearest neighbours (Å) after each atom.
Atoms (fractional coordinates):
Na  0.1493  0.6493  0.5000  4 As 3.07
Na  0.6493  0.8507  0.5000  4 As 3.07
Na  0.8507  0.3507  0.5000  4 As 3.07
Na  0.3507  0.1493  0.5000  4 As 3.07
As  0.3970  0.8970  0.0000  1 As 2.46
As  0.8970  0.6030  0.0000  1 As 2.46
As  0.6030  0.1030  0.0000  1 As 2.46
As  0.1030  0.3970  0.0000  1 As 2.46
Rb  0.0000  0.0000  0.0000  4 As 3.47
Rb  0.5000  0.5000  0.0000  4 As 3.47

total magnetization: 0.000 μB/cell
space group: P4/mbm, No. 127
formation enthalpy at 0 K: -0.2649 eV per atom
energy relative to the lowest polymorph listed for this composition: 100 meV per atom
total energy: -2.8458 eV/atom



Entry 9:
Material: RbNa2As2
Method: DFT, PBE-GGA
State: relaxed

Cell lengths 5.0590, 5.0590, 6.8237 Å; angles 68.24, 68.24, 90.00 degrees
With the nearest neighbours (Å) after each atom.
Atoms (fractional coordinates):
Na  0.7500  0.2500  0.5000  4 As 3.05
Na  0.2500  0.7500  0.5000  4 As 3.05
As  0.3961  0.3961  0.2078  1 As 2.41
As  0.6039  0.6039  0.7922  1 As 2.41
Rb  0.0000  0.0000  0.0000  8 As 3.78, 8 Na 3.85

total magnetization: 0.000 μB/cell
space group: I4/mmm, No. 139
formation enthalpy at 0 K: -0.3644 eV per atom
energy relative to the lowest polymorph listed for this composition: 0 meV per atom
total energy: -2.9454 eV/atom



Entry 10:
Material: RbNaAs
Method: DFT, PBE-GGA
State: relaxed

Cell lengths 4.9040, 4.9042, 13.3069 Å; angles 90.00, 90.00, 60.00 degrees
With the nearest neighbours (Å) after each atom.
Atoms (fractional coordinates):
Rb  0.1549  0.5607  0.0489  3 As 3.48
Rb  0.1550  0.5607  0.5292  3 As 3.48
Na  0.8216  0.2273  0.7891  6 Rb 4.47, 6 Na 4.90
Na  0.4882  0.8941  0.2891  6 As 3.07
As  0.8215  0.2275  0.2008  1 As 2.35
As  0.8215  0.2275  0.3773  1 As 2.35

total magnetization: 0.000 μB/cell
space group: P-6m2, No. 187
formation enthalpy at 0 K: -0.1789 eV per atom
energy relative to the lowest polymorph listed for this composition: 91 meV per atom
total energy: -2.4909 eV/atom



Number 1: theoretical density 1.6 g cm⁻³. Number 2: theoretical density 2.8 g cm⁻³. Number 3: theoretical density 2.8 g cm⁻³. Number 4: theoretical density 3.2 g cm⁻³. Number 5: theoretical density 3.8 g cm⁻³. Number 6: theoretical density 3.0 g cm⁻³. Number 7: theoretical density 3.6 g cm⁻³. Number 8: theoretical density 3.0 g cm⁻³. Number 9: theoretical density 3.1 g cm⁻³. Number 10: theoretical density 2.2 g cm⁻³.